[1]
A plane-wave DFT calculation with PBE was carried out for crystalline K4LaOs3O12 at its relaxed geometry.

Cell lengths 7.1238, 7.1238, 7.1238 Å; angles 109.47, 109.47, 109.47 degrees
Atoms (fractional coordinates):
K: 0.5000 0.5000 0.5000
K: 0.0000 0.0000 0.5000
K: 0.5000 0.0000 0.0000
K: 0.0000 0.5000 0.0000
La: 0.0000 0.0000 0.0000
Os: 0.5000 0.0000 0.5000
Os: 0.5000 0.5000 0.0000
Os: 0.0000 0.5000 0.5000
O: 0.2500 0.5000 0.7500
O: 0.7246 0.0000 0.7246
O: 0.2754 0.0000 0.2754
O: 0.7500 0.5000 0.2500
O: 0.7246 0.7246 0.0000
O: 0.2754 0.2754 0.0000
O: 0.7500 0.2500 0.5000
O: 0.2500 0.7500 0.5000
O: 0.5000 0.2500 0.7500
O: 0.0000 0.7246 0.7246
O: 0.5000 0.7500 0.2500
O: 0.0000 0.2754 0.2754

Calculated values
symmetry	Im-3m, No. 229
magnetization	1.0	μB/cell
ΔE_f (raw)	-1.4655	eV per atom

=====

[2]
A plane-wave DFT calculation with PBE was carried out for crystalline KLaOsO6 at its relaxed geometry.

Cell lengths 5.8237, 5.8237, 5.6604 Å; angles 90.00, 90.00, 60.00 degrees
Atoms (fractional coordinates):
K: 0.0000 0.0000 0.0000
La: 0.6666 0.6667 0.5000
Os: 0.3333 0.3333 0.5000
O: 0.0624 0.3456 0.3105
O: 0.3455 0.0624 0.6895
O: 0.5920 0.3456 0.6895
O: 0.0624 0.5920 0.6895
O: 0.3456 0.5920 0.3105
O: 0.5920 0.0624 0.3105

Calculated values
symmetry	P312, No. 149
magnetization	0.0	μB/cell
ΔE_f (raw)	-1.7836	eV per atom

=====

[3]
A plane-wave DFT calculation with PBE was carried out for crystalline KLa2OsO8 at its relaxed geometry.

Cell lengths 5.3900, 4.3462, 7.4156 Å; angles 73.72, 90.01, 89.96 degrees
Atoms (fractional coordinates):
K: 0.0000 0.0000 0.5000
La: 0.5003 0.3760 0.7901
La: 0.4997 0.6240 0.2099
Os: 0.0000 0.0000 0.0000
O: 0.0013 0.6596 0.2229
O: 0.7358 0.8088 0.8947
O: 0.7395 0.1923 0.1072
O: 0.9987 0.3404 0.7771
O: 0.2642 0.1912 0.1053
O: 0.2605 0.8077 0.8928
O: 0.5002 0.8311 0.4970
O: 0.4998 0.1689 0.5030

Calculated values
symmetry	P-1, No. 2
magnetization	0.0	μB/cell
ΔE_f (raw)	-2.0109	eV per atom

=====

[4]
A plane-wave DFT calculation with PBE was carried out for crystalline KLaP4O12 at its relaxed geometry.

Cell lengths 7.2063, 7.2063, 13.5186 Å; angles 90.00, 90.00, 112.57 degrees
Atoms (fractional coordinates):
K: 0.8550 0.1450 0.1463
K: 0.1450 0.8550 0.6463
La: 0.5747 0.4253 0.7471
La: 0.4253 0.5747 0.2471
P: 0.8678 0.7629 0.9576
P: 0.3348 0.0305 0.1547
P: 0.7629 0.8678 0.4576
P: 0.0305 0.3348 0.6547
P: 0.6652 0.9695 0.6547
P: 0.2371 0.1322 0.9576
P: 0.9695 0.6652 0.1547
P: 0.1322 0.2371 0.4576
O: 0.4549 0.9124 0.1902
O: 0.2539 0.1431 0.5104
O: 0.3825 0.2357 0.1973
O: 0.1431 0.2539 0.0104
O: 0.0381 0.3526 0.5365
O: 0.2213 0.3876 0.3760
O: 0.3876 0.2213 0.8760
O: 0.7461 0.8569 0.0104
O: 0.7787 0.6124 0.8760
O: 0.6474 0.9619 0.5365
O: 0.3526 0.0381 0.0365
O: 0.2357 0.3825 0.6973
O: 0.0739 0.9261 0.9101
O: 0.8569 0.7461 0.5104
O: 0.6124 0.7787 0.3760
O: 0.7643 0.6175 0.1973
O: 0.0964 0.9036 0.1760
O: 0.5451 0.0876 0.6902
O: 0.0876 0.5451 0.1902
O: 0.9036 0.0964 0.6760
O: 0.9261 0.0739 0.4101
O: 0.9619 0.6474 0.0365
O: 0.9124 0.4549 0.6902
O: 0.6175 0.7643 0.6973

Calculated values
symmetry	Cmc2_1, No. 36
ΔE to the lowest computed polymorph	3.5	kJ/mol of atoms
magnetization	0.3	μB/cell
ΔE_f (raw)	-2.4310	eV per atom

=====

[5]
A plane-wave DFT calculation with PBE was carried out for crystalline KLaP4O12 at its relaxed geometry.

Cell lengths 8.6909, 7.4498, 8.1853 Å; angles 88.16, 90.00, 90.00 degrees
Atoms (fractional coordinates):
K: 0.0644 0.2688 0.2831
K: 0.5644 0.7312 0.7169
La: 0.2473 0.7636 0.2413
La: 0.7473 0.2364 0.7587
P: 0.3223 0.1008 0.8917
P: 0.8223 0.8992 0.1083
P: 0.1236 0.4306 0.9022
P: 0.6236 0.5694 0.0978
P: 0.4985 0.3802 0.3933
P: 0.9985 0.6198 0.6067
P: 0.0985 0.9984 0.6179
P: 0.5985 0.0016 0.3821
O: 0.4813 0.0861 0.8229
O: 0.9813 0.9139 0.1771
O: 0.2738 0.3088 0.8697
O: 0.7738 0.6912 0.1303
O: 0.2046 0.9902 0.7787
O: 0.7046 0.0098 0.2213
O: 0.9979 0.1624 0.6136
O: 0.4979 0.8376 0.3864
O: 0.4825 0.6833 0.0748
O: 0.9825 0.3167 0.9252
O: 0.1584 0.5542 0.0390
O: 0.6584 0.4458 0.9610
O: 0.1952 0.9693 0.4688
O: 0.6952 0.0307 0.5312
O: 0.9894 0.8274 0.6568
O: 0.4894 0.1726 0.3432
O: 0.1299 0.5437 0.7312
O: 0.6299 0.4563 0.2688
O: 0.3461 0.4626 0.3498
O: 0.8461 0.5374 0.6502
O: 0.2903 0.0348 0.0640
O: 0.7903 0.9652 0.9360
O: 0.0592 0.6065 0.4361
O: 0.5592 0.3935 0.5639

Calculated values
symmetry	P2_1, No. 4
ΔE to the lowest computed polymorph	0.0	kJ/mol of atoms
magnetization	0.0	μB/cell
ΔE_f (raw)	-2.4671	eV per atom

=====

[6]
A plane-wave DFT calculation with PBE was carried out for crystalline KLaPO2 at its relaxed geometry.

Cell lengths 4.5423, 4.5423, 5.0028 Å; angles 90.00, 90.00, 90.00 degrees
Atoms (fractional coordinates):
P: 0.0000 0.0000 0.5000
K: 0.0000 0.0000 0.0000
O: 0.0000 0.5000 0.0000
O: 0.5000 0.0000 0.0000
La: 0.5000 0.5000 0.5000

Calculated values
symmetry	P4/mmm, No. 123
ΔE to the lowest computed polymorph	91.5	kJ/mol of atoms
magnetization	1.8	μB/cell
ΔE_f (raw)	-0.1436	eV per atom

=====

What did the fifth record say?
A plane-wave DFT calculation with PBE was carried out for crystalline KLaP4O12 at its relaxed geometry.

Cell lengths 8.6909, 7.4498, 8.1853 Å; angles 88.16, 90.00, 90.00 degrees
Atoms (fractional coordinates):
K: 0.0644 0.2688 0.2831
K: 0.5644 0.7312 0.7169
La: 0.2473 0.7636 0.2413
La: 0.7473 0.2364 0.7587
P: 0.3223 0.1008 0.8917
P: 0.8223 0.8992 0.1083
P: 0.1236 0.4306 0.9022
P: 0.6236 0.5694 0.0978
P: 0.4985 0.3802 0.3933
P: 0.9985 0.6198 0.6067
P: 0.0985 0.9984 0.6179
P: 0.5985 0.0016 0.3821
O: 0.4813 0.0861 0.8229
O: 0.9813 0.9139 0.1771
O: 0.2738 0.3088 0.8697
O: 0.7738 0.6912 0.1303
O: 0.2046 0.9902 0.7787
O: 0.7046 0.0098 0.2213
O: 0.9979 0.1624 0.6136
O: 0.4979 0.8376 0.3864
O: 0.4825 0.6833 0.0748
O: 0.9825 0.3167 0.9252
O: 0.1584 0.5542 0.0390
O: 0.6584 0.4458 0.9610
O: 0.1952 0.9693 0.4688
O: 0.6952 0.0307 0.5312
O: 0.9894 0.8274 0.6568
O: 0.4894 0.1726 0.3432
O: 0.1299 0.5437 0.7312
O: 0.6299 0.4563 0.2688
O: 0.3461 0.4626 0.3498
O: 0.8461 0.5374 0.6502
O: 0.2903 0.0348 0.0640
O: 0.7903 0.9652 0.9360
O: 0.0592 0.6065 0.4361
O: 0.5592 0.3935 0.5639

Calculated values
symmetry	P2_1, No. 4
ΔE to the lowest computed polymorph	0.0	kJ/mol of atoms
magnetization	0.0	μB/cell
ΔE_f (raw)	-2.4671	eV per atom

=====

- The lowest ΔE_f (raw) belongs to which entry?
  number 5